Below is a geometry-optimized GeAsAuO structure, with properties calculated at the GGA-PBE level.

CIF file:
```
data_GeAsAuO
_chemical_formula_sum 'Ge2 As2 Au2 O2'
_cell_length_a 3.8565
_cell_length_b 3.8565
_cell_length_c 9.4853
_cell_angle_alpha 90.00
_cell_angle_beta 90.00
_cell_angle_gamma 90.00
_symmetry_space_group_name_H-M 'P 4/n m m'
_symmetry_Int_Tables_number 129
loop_
_symmetry_equiv_pos_as_xyz
'x,y,z'
'-x,-y,-z'
'-y+1/2,x,z'
'y+1/2,-x,-z'
'-x+1/2,-y+1/2,z'
'x+1/2,y+1/2,-z'
'y,-x+1/2,z'
'-y,x+1/2,-z'
'x+1/2,-y,-z'
'-x+1/2,y,z'
'-y,-x,-z'
'y,x,z'
'-x,y+1/2,-z'
'x,-y+1/2,z'
'y+1/2,x+1/2,-z'
'-y+1/2,-x+1/2,z'
loop_
_atom_site_label
_atom_site_type_symbol
_atom_site_fract_x
_atom_site_fract_y
_atom_site_fract_z
_atom_site_occupancy
Ge1 Ge 0.2500 0.2500 0.1032 1
As1 As 0.2500 0.2500 0.6957 1
Au1 Au 0.2500 0.7500 0.5000 1
O1 O 0.2500 0.7500 0.0000 1
```

Summary:
E above lowest polymorph	270	meV per atom
V	17.6	Å³ per atom


Below is a geometry-optimized TcGePO structure, with properties calculated at the GGA-PBE level.

CIF file:
```
data_TcGePO
_chemical_formula_sum 'Tc2 Ge2 P2 O2'
_cell_length_a 4.0942
_cell_length_b 4.0942
_cell_length_c 8.4748
_cell_angle_alpha 90.00
_cell_angle_beta 90.00
_cell_angle_gamma 90.00
_symmetry_space_group_name_H-M 'P 4/n m m'
_symmetry_Int_Tables_number 129
loop_
_symmetry_equiv_pos_as_xyz
'x,y,z'
'-x,-y,-z'
'-y+1/2,x,z'
'y+1/2,-x,-z'
'-x+1/2,-y+1/2,z'
'x+1/2,y+1/2,-z'
'y,-x+1/2,z'
'-y,x+1/2,-z'
'x+1/2,-y,-z'
'-x+1/2,y,z'
'-y,-x,-z'
'y,x,z'
'-x,y+1/2,-z'
'x,-y+1/2,z'
'y+1/2,x+1/2,-z'
'-y+1/2,-x+1/2,z'
loop_
_atom_site_label
_atom_site_type_symbol
_atom_site_fract_x
_atom_site_fract_y
_atom_site_fract_z
_atom_site_occupancy
Tc1 Tc 0.2500 0.2500 0.0485 1
Ge1 Ge 0.2500 0.7500 0.5000 1
P1 P 0.2500 0.2500 0.3023 1
O1 O 0.2500 0.7500 0.0000 1
```

Summary:
E above lowest polymorph	395	meV per atom
V	17.8	Å³ per atom
total moment	0.009	μB/cell